The following is a DFT calculation (GGA-PBE) of a relaxed structure of TaAlSe3.

Unit cell a=4.778 b=4.778 c=4.778 alpha=90.00 beta=90.00 gamma=90.00
Each line ends with the local moment (μB).
Fractional positions:
Al: 0.000 0.000 0.000  0.02
Se: 0.000 0.500 0.000  -0.19
Se: 0.000 0.000 0.500  -0.14
Se: 0.500 0.000 0.000  -0.14
Ta: 0.500 0.500 0.500  1.60

## Properties
Its formation energy (no corrections) is 494 meV/atom. Its space group is Pm-3m, No. 221.

---

The following is a DFT calculation (GGA-PBE) of a relaxed structure of TaAlSe2.

Unit cell a=3.309 b=3.309 c=7.483 alpha=90.00 beta=90.00 gamma=90.00
Fractional positions:
Al: 0.500 0.500 0.746
Se: 0.000 0.000 0.897
Se: 0.500 0.500 0.336
Ta: 0.000 0.000 0.521

## Properties
Its formation energy (no corrections) is -416 meV/atom. Its space group is P4mm, No. 99.

---

The following is a DFT calculation (GGA-PBE) of a relaxed structure of TaAlSe2.

Unit cell a=5.546 b=5.546 c=5.546 alpha=146.25 beta=128.33 gamma=63.15
Fractional positions:
Al: 0.242 0.742 0.500
Se: 0.020 0.020 0.000
Se: 0.728 0.228 0.500
Ta: 0.510 0.510 0.000

## Properties
Its formation energy (no corrections) is -69 meV/atom. Its space group is Imm2, No. 44.

---

The following is a DFT calculation (GGA-PBE) of a relaxed structure of TaAlSe2.

Unit cell a=5.019 b=3.471 c=4.799 alpha=68.76 beta=90.00 gamma=90.00
Fractional positions:
Al: 0.500 0.727 0.675
Se: 0.000 0.029 0.065
Se: 0.500 0.430 0.269
Ta: 0.000 0.315 0.491

## Properties
Its formation energy (no corrections) is -269 meV/atom. Its space group is Pm, No. 6.

---

The following is a DFT calculation (GGA-PBE) of a relaxed structure of TaAlSe2.

Unit cell a=4.711 b=4.711 c=4.711 alpha=60.00 beta=60.00 gamma=60.00
Fractional positions:
Al: 0.500 0.500 0.500
Se: 0.000 0.000 0.000
Se: 0.250 0.250 0.250
Ta: 0.750 0.750 0.750

## Properties
Its formation energy (no corrections) is 512 meV/atom. Its space group is F-43m, No. 216.

---

The following is a DFT calculation (GGA-PBE) of a relaxed structure of Ta2AlSe.

Unit cell a=8.839 b=8.839 c=8.839 alpha=20.60 beta=20.60 gamma=20.60
Fractional positions:
Al: 0.502 0.502 0.502
Se: 0.743 0.743 0.743
Ta: 0.005 0.005 0.005
Ta: 0.250 0.250 0.250

## Properties
Its formation energy (no corrections) is -122 meV/atom. Its space group is R3m, No. 160.

---

The following is a DFT calculation (GGA-PBE) of a relaxed structure of Ta2AlSe.

Unit cell a=4.592 b=4.592 c=4.592 alpha=60.00 beta=60.00 gamma=60.00
Fractional positions:
Al: 0.000 0.000 0.000
Se: 0.500 0.500 0.500
Ta: 0.250 0.250 0.250
Ta: 0.750 0.750 0.750

## Properties
Its formation energy (no corrections) is 150 meV/atom. Its space group is Fm-3m, No. 225.

---

The following is a DFT calculation (GGA-PBE) of a relaxed structure of TaAlSe3.

Unit cell a=5.065 b=5.065 c=5.065 alpha=90.00 beta=90.00 gamma=90.00
Fractional positions:
Al: 0.500 0.500 0.500
Se: 0.000 0.500 0.000
Se: 0.000 0.000 0.500
Se: 0.500 0.000 0.000
Ta: 0.000 0.000 0.000

## Properties
Its formation energy (no corrections) is -135 meV/atom. Its space group is Pm-3m, No. 221.

---

The following is a DFT calculation (GGA-PBE) of a relaxed structure of Ta2AlSe.

Unit cell a=3.960 b=3.960 c=9.990 alpha=78.57 beta=78.57 gamma=90.00
Fractional positions:
Al: 0.500 0.500 0.000
Al: 0.250 0.750 0.500
Se: 0.000 0.000 0.000
Se: 0.750 0.250 0.500
Ta: 0.619 0.125 0.250
Ta: 0.131 0.625 0.250
Ta: 0.375 0.381 0.750
Ta: 0.875 0.869 0.750

## Properties
Its formation energy (no corrections) is 216 meV/atom. Its space group is I-42d, No. 122.

---

The following is a DFT calculation (GGA-PBE) of a relaxed structure of TaAlSe.

Unit cell a=3.923 b=3.923 c=10.090 alpha=78.79 beta=78.79 gamma=60.00
Fractional positions:
Ta: 0.558 0.558 0.326
Ta: 0.442 0.442 0.674
Se: 0.276 0.276 0.171
Se: 0.724 0.724 0.829
Al: 0.836 0.836 0.493
Al: 0.164 0.164 0.507

## Properties
Its formation energy (no corrections) is -105 meV/atom. Its space group is R-3m, No. 166.

---

The following is a DFT calculation (GGA-PBE) of a relaxed structure of Ta2AlSe.

Unit cell a=4.162 b=2.993 c=5.724 alpha=77.34 beta=90.00 gamma=90.00
Fractional positions:
Al: 0.500 0.250 0.250
Se: 0.500 0.750 0.750
Ta: 0.000 0.954 0.001
Ta: 0.000 0.546 0.499

## Properties
Its formation energy (no corrections) is 90 meV/atom. Its space group is P2/m, No. 10.

---

The following is a DFT calculation (GGA-PBE) of a relaxed structure of Ta2AlSe.

Unit cell a=3.067 b=3.067 c=7.220 alpha=90.00 beta=90.00 gamma=90.00
Fractional positions:
Al: 0.500 0.500 0.250
Se: 0.500 0.500 0.750
Ta: 0.000 0.000 0.988
Ta: 0.000 0.000 0.512

## Properties
Its formation energy (no corrections) is -96 meV/atom. Its space group is P4/mmm, No. 123.

---

The following is a DFT calculation (GGA-PBE) of a relaxed structure of Ta2AlSe.

Unit cell a=5.319 b=5.319 c=5.319 alpha=143.04 beta=128.71 gamma=64.88
Fractional positions:
Al: 0.497 0.497 0.000
Se: 0.763 0.263 0.500
Ta: 0.990 0.990 0.000
Ta: 0.250 0.750 0.500

## Properties
Its formation energy (no corrections) is 18 meV/atom. Its space group is Imm2, No. 44.

---

The following is a DFT calculation (GGA-PBE) of a relaxed structure of TaAlSe2.

Unit cell a=4.668 b=4.668 c=5.250 alpha=84.82 beta=84.82 gamma=41.61
Fractional positions:
Al: 0.750 0.750 0.750
Se: 0.962 0.962 0.024
Se: 0.538 0.538 0.476
Ta: 0.250 0.250 0.250

## Properties
Its formation energy (no corrections) is -166 meV/atom. Its space group is C2/m, No. 12.

---

The following is a DFT calculation (GGA-PBE) of a relaxed structure of Ta2AlSe.

Unit cell a=5.060 b=5.060 c=4.768 alpha=75.83 beta=75.83 gamma=35.58
Fractional positions:
Al: 0.504 0.504 0.547
Se: 0.250 0.250 0.198
Ta: 0.984 0.984 0.057
Ta: 0.762 0.762 0.698

## Properties
Its formation energy (no corrections) is -81 meV/atom. Its space group is Cm, No. 8.

---

Computed total DFT energy (no corrections), in the same sequence as the records: -4.7158, -6.0566, -5.7102, -5.9098, -5.1293, -7.8551, -7.5836, -5.3446, -7.5171, -6.4646, -7.6427, -7.8287, -7.7152, -5.8072, -7.8140 eV per atom.